(1)
LaSmNb2O8 | PBE | relaxed

## Properties
Energy: -8.87 eV per atom
Calculated volume: 168 Å³ per cell

a b c (Å): 6.923 6.923 6.923
angles (deg): 134.17 134.17 66.82
Positions (direct):
La 0.000 0.000 0.000
Sm 0.250 0.750 0.500
Nb 0.500 0.500 0.000
Nb 0.750 0.250 0.500
O 0.005 0.088 0.422
O 0.251 0.661 0.089
O 0.339 0.428 0.591
O 0.417 0.995 0.083
O 0.572 0.162 0.911
O 0.665 0.583 0.578
O 0.838 0.749 0.409
O 0.912 0.335 0.917



(2)
SrLaNb2O8 | PBE | relaxed

## Properties
Energy: -8.31 eV per atom
Calculated volume: 178 Å³ per cell

a b c (Å): 7.053 7.053 7.053
angles (deg): 134.17 134.17 66.83
Positions (direct):
Sr 0.000 0.000 0.000
La 0.250 0.750 0.500
Nb 0.500 0.500 0.000
Nb 0.750 0.250 0.500
O 0.003 0.096 0.429
O 0.254 0.651 0.084
O 0.349 0.433 0.604
O 0.426 0.997 0.093
O 0.567 0.170 0.916
O 0.667 0.574 0.571
O 0.830 0.746 0.396
O 0.904 0.333 0.907



(3)
Sr2LaTi2Nb3O15 | PBE | relaxed

## Properties
Energy: -8.51 eV per atom
Calculated volume: 623 Å³ per cell

a b c (Å): 12.484 12.589 3.961
angles (deg): 90.00 90.00 90.00
Positions (direct):
Sr 0.206 0.122 0.000
Sr 0.294 0.622 0.000
Sr 0.706 0.378 0.000
Sr 0.794 0.878 0.000
La 0.000 0.500 0.000
La 0.500 0.000 0.000
Ti 0.208 0.415 0.500
Ti 0.292 0.915 0.500
Ti 0.708 0.085 0.500
Ti 0.792 0.585 0.500
Nb 0.000 0.000 0.500
Nb 0.078 0.716 0.500
Nb 0.422 0.216 0.500
Nb 0.500 0.500 0.500
Nb 0.578 0.784 0.500
Nb 0.922 0.284 0.500
O 0.000 0.000 0.000
O 0.015 0.160 0.500
O 0.056 0.378 0.500
O 0.083 0.699 0.000
O 0.147 0.570 0.500
O 0.159 0.996 0.500
O 0.196 0.431 0.000
O 0.227 0.776 0.500
O 0.273 0.276 0.500
O 0.304 0.931 0.000
O 0.341 0.496 0.500
O 0.353 0.070 0.500
O 0.417 0.199 0.000
O 0.444 0.878 0.500
O 0.485 0.660 0.500
O 0.500 0.500 0.000
O 0.515 0.340 0.500
O 0.556 0.122 0.500
O 0.583 0.801 0.000
O 0.647 0.930 0.500
O 0.659 0.504 0.500
O 0.696 0.069 0.000
O 0.727 0.724 0.500
O 0.773 0.224 0.500
O 0.804 0.569 0.000
O 0.841 0.004 0.500
O 0.853 0.430 0.500
O 0.917 0.301 0.000
O 0.944 0.622 0.500
O 0.985 0.840 0.500



In Mg/m³, the ρ values for the records above are, in order, 5.96 5.05 4.95.